Density functional theory data (PBE with a Hubbard U) for an optimized crystal structure of CrSn2OsO.

POSCAR file:
```
CrSn2OsO
1.0
-2.5957 3.1959 -3.0274
-2.3271 -3.4273 -1.6229
-3.4978 0.6366 3.6710
Cr Os Sn O
1 1 2 1
Direct
0.0000 0.0000 0.0000 Cr
0.0000 0.5000 0.0000 Os
0.0000 0.0000 0.5000 Sn
0.5000 0.0000 0.0000 Sn
0.5000 0.5000 0.5000 O
```

Values from the calculation:
E_tot = -4.821 eV/atom
Spin magnetization = 0.728 μB per atom
Crystal system = tetragonal
Space-group type = P4/mmm (123)
V = 23.239 A^3/atom